This record from Alexandria via LeMat-Bulk describes a geometry-optimized IrOsNO2 structure. The functional is GGA-PBEsol.

a = 3.8067 Å, b = 3.8971 Å, c = 3.8971 Å
α = 90.00°, β = 90.00°, γ = 90.00°
Last column: nearest neighbours and their distance in Å.
Atoms (fractional coordinates):
O (0.0000, 0.5000, 0.0000)  2 Ir 1.95
O (0.0000, 0.0000, 0.5000)  2 Ir 1.95
Ir (0.0000, 0.0000, 0.0000)  2 N 1.90, 4 O 1.95
N (0.5000, 0.0000, 0.0000)  2 Ir 1.90
Os (0.5000, 0.5000, 0.5000)  8 O 2.72, 4 N 2.76

As for the space group: P4/mmm, No. 123.

This record from Alexandria via LeMat-Bulk describes a geometry-optimized PIrNO2 structure. The functional is GGA-PBEsol.

a = 3.7802 Å, b = 3.8853 Å, c = 3.8853 Å
α = 90.00°, β = 90.00°, γ = 90.00°
Last column: nearest neighbours and their distance in Å.
Atoms (fractional coordinates):
N (0.5000, 0.0000, 0.0000)  2 Ir 1.89
O (0.0000, 0.5000, 0.0000)  2 Ir 1.94
O (0.0000, 0.0000, 0.5000)  2 Ir 1.94
P (0.5000, 0.5000, 0.5000)  8 O 2.71, 4 N 2.75
Ir (0.0000, 0.0000, 0.0000)  2 N 1.89, 4 O 1.94

As for the space group: P4/mmm, No. 123.

This record from Alexandria via LeMat-Bulk describes a geometry-optimized IrPdN2O structure. The functional is GGA-PBEsol.

a = 3.8120 Å, b = 3.8120 Å, c = 3.8456 Å
α = 90.00°, β = 90.00°, γ = 90.00°
Last column: nearest neighbours and their distance in Å.
Atoms (fractional coordinates):
Pd (0.0000, 0.0000, 0.0000)  4 N 1.91, 2 O 1.92
Ir (0.5000, 0.5000, 0.5000)  4 O 2.70, 8 N 2.71
N (0.0000, 0.5000, 0.0000)  2 Pd 1.91
N (0.5000, 0.0000, 0.0000)  2 Pd 1.91
O (0.0000, 0.0000, 0.5000)  2 Pd 1.92

As for the space group: P4/mmm, No. 123.

This record from Alexandria via LeMat-Bulk describes a geometry-optimized IrSeN2O structure. The functional is GGA-PBEsol.

a = 3.7308 Å, b = 3.7308 Å, c = 3.8709 Å
α = 90.00°, β = 90.00°, γ = 90.00°
Last column: nearest neighbours and their distance in Å.
Atoms (fractional coordinates):
N (0.0000, 0.5000, 0.0000)  2 O 1.87
N (0.5000, 0.0000, 0.0000)  2 O 1.87
O (0.0000, 0.0000, 0.0000)  4 N 1.87, 2 Se 1.94
Se (0.0000, 0.0000, 0.5000)  2 O 1.94
Ir (0.5000, 0.5000, 0.5000)  4 Se 2.64, 8 N 2.69

As for the space group: P4/mmm, No. 123.

This record from Alexandria via LeMat-Bulk describes a geometry-optimized TeIrN2O structure. The functional is GGA-PBEsol.

a = 3.9032 Å, b = 3.9032 Å, c = 3.9452 Å
α = 90.00°, β = 90.00°, γ = 90.00°
Last column: nearest neighbours and their distance in Å.
Atoms (fractional coordinates):
N (0.0000, 0.5000, 0.0000)  2 Ir 1.95
N (0.5000, 0.0000, 0.0000)  2 Ir 1.95
Ir (0.0000, 0.0000, 0.0000)  4 N 1.95, 2 O 1.97
Te (0.5000, 0.5000, 0.5000)  4 O 2.76, 8 N 2.77
O (0.0000, 0.0000, 0.5000)  2 Ir 1.97

As for the space group: P4/mmm, No. 123.

This record from Alexandria via LeMat-Bulk describes a geometry-optimized TeIrN2O structure. The functional is GGA-PBEsol.

a = 3.6467 Å, b = 3.6467 Å, c = 5.8075 Å
α = 90.00°, β = 90.00°, γ = 90.00°
Last column: nearest neighbours and their distance in Å.
Atoms (fractional coordinates):
O (0.5000, 0.5000, 0.5000)  4 Te 2.58
N (0.5000, 0.0000, 0.0000)  2 Ir 1.82
N (0.0000, 0.5000, 0.0000)  2 Ir 1.82
Te (0.0000, 0.0000, 0.5000)  4 O 2.58
Ir (0.0000, 0.0000, 0.0000)  4 N 1.82

As for the space group: P4/mmm, No. 123.

| no. | total magnetization (Bohr magnetons per cell) | V (A^3/atom) | uncorrected formation energy (eV per atom) |
| --- | --- | --- | --- |
| 1 | 3.4 | 11.56 | 1.2372 |
| 2 | 0.0 | 11.41 | 0.6002 |
| 3 | 0.0 | 11.18 | 1.8489 |
| 4 | 0.3 | 10.78 | 2.0327 |
| 5 | 0.0 | 12.02 | 0.7218 |
| 6 | 0.0 | 15.45 | 0.6936 |